Record 1
# PrTmPSe

A relaxed structure of PrTmPSe (PBE-GGA, Alexandria).

a b c (Å): 7.4549 7.4549 7.4549
angles (deg): 31.34 31.34 31.34
Closest atoms and distances in Å follow each position.
Element x y z (fractional)
Pr  0.0000  0.0000  0.0000  3 P 2.90, 3 Se 3.13
Tm  0.8162  0.8162  0.8162  3 P 2.74, 3 Se 2.95
P  0.4151  0.4151  0.4151  3 Tm 2.74, 3 Pr 2.90
Se  0.2350  0.2350  0.2350  3 Tm 2.95, 3 Pr 3.13

Output
VASP energy ... -6.238 eV per atom
Space group ... R3m
Raw formation energy ... -1.702 eV/atom

---

Record 2
# PrYPSe

A relaxed structure of PrYPSe (PBE-GGA, Alexandria).

a b c (Å): 7.5186 7.5186 7.5186
angles (deg): 31.32 31.32 31.32
Closest atoms and distances in Å follow each position.
Element x y z (fractional)
Pr  0.0000  0.0000  0.0000  3 P 2.90, 3 Se 3.13
Y  0.8162  0.8162  0.8162  3 P 2.78, 3 Se 2.99
P  0.4133  0.4133  0.4133  3 Y 2.78, 3 Pr 2.90
Se  0.2364  0.2364  0.2364  3 Y 2.99, 3 Pr 3.13

Output
VASP energy ... -6.760 eV per atom
Space group ... R3m
Raw formation energy ... -1.726 eV/atom

---

Record 3
# PrZnPSe

A relaxed structure of PrZnPSe (PBE-GGA, Alexandria).

a b c (Å): 14.1116 14.1116 14.1116
angles (deg): 17.14 17.14 17.14
Closest atoms and distances in Å follow each position.
Element x y z (fractional)
Pr  0.0855  0.0855  0.0855  3 Se 2.85, 3 P 3.14
Pr  0.9145  0.9145  0.9145  3 Se 2.85, 3 P 3.14
Zn  0.3112  0.3112  0.3112  4 P 2.50-2.51
Zn  0.6888  0.6888  0.6888  4 P 2.50-2.51
P  0.3711  0.3711  0.3711  4 Zn 2.50-2.51
P  0.6289  0.6289  0.6289  4 Zn 2.50-2.51
Se  0.2121  0.2121  0.2121  3 Pr 2.85
Se  0.7879  0.7879  0.7879  3 Pr 2.85

Output
VASP energy ... -4.774 eV per atom
Space group ... R-3m
Raw formation energy ... -1.037 eV/atom

---

Record 4
# PrZrPSe

A relaxed structure of PrZrPSe (PBE-GGA, Alexandria).

a b c (Å): 13.3796 13.3796 13.3796
angles (deg): 18.99 18.99 18.99
Closest atoms and distances in Å follow each position.
Element x y z (fractional)
Pr  0.0919  0.0919  0.0919  3 Se 2.87, 3 P 3.21
Pr  0.9081  0.9081  0.9081  3 Se 2.87, 3 P 3.21
Zr  0.3083  0.3083  0.3083  4 P 2.64-2.66
Zr  0.6917  0.6917  0.6917  4 P 2.64-2.66
P  0.3757  0.3757  0.3757  4 Zr 2.64-2.66
P  0.6243  0.6243  0.6243  4 Zr 2.64-2.66
Se  0.2081  0.2081  0.2081  3 Pr 2.87
Se  0.7919  0.7919  0.7919  3 Pr 2.87

Output
VASP energy ... -6.810 eV per atom
Space group ... R-3m
Raw formation energy ... -1.254 eV/atom

---

Record 5
# Pr8SiP5

A relaxed structure of Pr8SiP5 (PBE-GGA, Alexandria).

a b c (Å): 7.7500 7.7500 7.7500
angles (deg): 109.41 109.41 109.60
Closest atoms and distances in Å follow each position.
Element x y z (fractional)
Pr  0.0013  0.6192  0.7432  3 P 2.92-3.27, 1 Si 2.97
Pr  0.2452  0.4963  0.1204  3 P 2.91-2.93
Pr  0.3759  0.1249  0.8796  3 P 2.91-2.93
Pr  0.3808  0.1241  0.3821  3 P 2.92-3.27, 1 Si 2.97
Pr  0.5037  0.6241  0.7489  3 P 2.91-2.93
Pr  0.7420  0.9987  0.6179  3 P 2.92-3.27, 1 Si 2.97
Pr  0.8751  0.7548  0.2511  3 P 2.91-2.93
Pr  0.8759  0.2580  0.2568  3 P 2.92-3.27, 1 Si 2.97
Si  0.0000  0.0000  0.0000  8 Pr 2.97-3.29
P  0.1264  0.2480  0.6258  4 Pr 2.91-2.92
P  0.2500  0.7500  0.5000  8 Pr 2.93-3.27
P  0.4994  0.8736  0.1216  4 Pr 2.91-2.92
P  0.6222  0.5006  0.3742  4 Pr 2.91-2.92
P  0.7520  0.3778  0.8784  4 Pr 2.91-2.92

Output
VASP energy ... -6.219 eV per atom
Space group ... I-4
Raw formation energy ... -1.168 eV/atom

---

Record 6
# Pr2SiP

A relaxed structure of Pr2SiP (PBE-GGA, Alexandria).

a b c (Å): 7.6334 7.6334 7.6334
angles (deg): 31.57 31.57 31.57
Closest atoms and distances in Å follow each position.
Element x y z (fractional)
Pr  0.2453  0.2453  0.2453  3 P 2.94, 3 Si 3.07
Pr  0.7547  0.7547  0.7547  3 P 2.94, 3 Si 3.07
Si  0.0000  0.0000  0.0000  6 Pr 3.07
P  0.5000  0.5000  0.5000  6 Pr 2.94

Output
VASP energy ... -6.059 eV per atom
Space group ... R-3m
Raw formation energy ... -0.961 eV/atom

---

Record 7
# Pr6SiP4

A relaxed structure of Pr6SiP4 (PBE-GGA, Alexandria).

a b c (Å): 7.2258 7.2258 21.0006
angles (deg): 90.00 90.00 146.17
Closest atoms and distances in Å follow each position.
Element x y z (fractional)
Pr  0.0000  0.0000  0.0000  6 P 2.97
Pr  0.0000  0.0000  0.5000  6 P 2.97
Pr  0.1863  0.8137  0.7500  2 P 2.88, 2 Si 2.97
Pr  0.2740  0.7260  0.0829  5 P 2.91-2.98
Pr  0.2740  0.7260  0.4171  5 P 2.91-2.98
Pr  0.4539  0.5461  0.6629  3 P 2.82-2.91
Pr  0.4539  0.5461  0.8371  3 P 2.82-2.91
Pr  0.5461  0.4539  0.1629  3 P 2.82-2.91
Pr  0.5461  0.4539  0.3371  3 P 2.82-2.91
Pr  0.7260  0.2740  0.5829  5 P 2.91-2.98
Pr  0.7260  0.2740  0.9171  5 P 2.91-2.98
Pr  0.8137  0.1863  0.2500  2 P 2.88, 2 Si 2.97
Si  0.1619  0.8381  0.2500  6 Pr 2.97-3.21
Si  0.8381  0.1619  0.7500  6 Pr 2.97-3.21
P  0.0902  0.9098  0.6285  6 Pr 2.88-2.98
P  0.0902  0.9098  0.8715  6 Pr 2.88-2.98
P  0.3626  0.6374  0.5426  6 Pr 2.82-2.97
P  0.3626  0.6374  0.9574  6 Pr 2.82-2.97
P  0.6374  0.3626  0.0426  6 Pr 2.82-2.97
P  0.6374  0.3626  0.4574  6 Pr 2.82-2.97
P  0.9098  0.0902  0.1285  6 Pr 2.88-2.98
P  0.9098  0.0902  0.3715  6 Pr 2.88-2.98

Output
VASP energy ... -6.319 eV per atom
Space group ... Cmcm
Raw formation energy ... -1.251 eV/atom

---

Record 8
# Pr2SiP

A relaxed structure of Pr2SiP (PBE-GGA, Alexandria).

a b c (Å): 11.9947 11.9947 4.0549
angles (deg): 90.00 90.00 159.18
Closest atoms and distances in Å follow each position.
Element x y z (fractional)
Pr  0.0676  0.9324  0.7500  1 P 2.85, 4 Si 3.08
Pr  0.3109  0.6891  0.7500  5 P 2.89-2.97
Pr  0.6891  0.3109  0.2500  5 P 2.89-2.97
Pr  0.9324  0.0676  0.2500  1 P 2.85, 4 Si 3.08
Si  0.4673  0.5327  0.7500  2 Si 2.55
Si  0.5327  0.4673  0.2500  2 Si 2.55
P  0.1882  0.8118  0.7500  6 Pr 2.85-2.97
P  0.8118  0.1882  0.2500  6 Pr 2.85-2.97

Output
VASP energy ... -6.224 eV per atom
Space group ... Cmcm
Raw formation energy ... -1.126 eV/atom

---

Record 9
# PrSi2Tc2P

A relaxed structure of PrSi2Tc2P (PBE-GGA, Alexandria).

a b c (Å): 4.4262 4.4262 5.5159
angles (deg): 90.00 90.00 90.00
Closest atoms and distances in Å follow each position.
Element x y z (fractional)
Pr  0.0000  0.0000  0.0000  2 P 2.76
Si  0.5000  0.5000  0.2227  1 Si 2.46, 4 Tc 2.69
Si  0.5000  0.5000  0.7773  1 Si 2.46, 4 Tc 2.69
Tc  0.0000  0.5000  0.5000  2 P 2.21
Tc  0.5000  0.0000  0.5000  2 P 2.21
P  0.0000  0.0000  0.5000  4 Tc 2.21

Output
VASP energy ... -7.374 eV per atom
Space group ... P4/mmm
Raw formation energy ... -0.413 eV/atom

---

Record 10
# Pr4SiTe2P

A relaxed structure of Pr4SiTe2P (PBE-GGA, Alexandria).

a b c (Å): 7.5375 4.3517 7.7828
angles (deg): 90.00 108.81 90.00
Closest atoms and distances in Å follow each position.
Element x y z (fractional)
Pr  0.2384  0.0000  0.2177  2 P 2.98, 1 Si 2.99, 3 Te 3.26
Pr  0.2587  0.5000  0.7786  1 P 2.99, 2 Si 3.00, 3 Te 3.24-3.25
Pr  0.7413  0.5000  0.2214  1 P 2.99, 2 Si 3.00, 3 Te 3.24-3.25
Pr  0.7616  0.0000  0.7823  2 P 2.98, 1 Si 2.99, 3 Te 3.26
Si  0.5000  0.0000  0.0000  6 Pr 2.99-3.00
Te  0.0000  0.0000  0.5000  6 Pr 3.24-3.26
Te  0.5000  0.5000  0.5000  6 Pr 3.25-3.26
P  0.0000  0.5000  0.0000  6 Pr 2.98-2.99

Output
VASP energy ... -5.881 eV per atom
Space group ... P2/m
Raw formation energy ... -1.351 eV/atom

---

Record 11
# Pr8SiTe4P3

A relaxed structure of Pr8SiTe4P3 (PBE-GGA, Alexandria).

a b c (Å): 8.9061 8.9061 8.9061
angles (deg): 58.09 58.09 58.09
Closest atoms and distances in Å follow each position.
Element x y z (fractional)
Pr  0.2382  0.2382  0.2382  3 P 2.96, 3 Te 3.27
Pr  0.2386  0.7397  0.7397  2 P 2.97, 1 Si 2.97, 3 Te 3.25
Pr  0.2603  0.2603  0.7614  2 P 2.97, 1 Si 2.97, 3 Te 3.25
Pr  0.2603  0.7614  0.2603  2 P 2.97, 1 Si 2.97, 3 Te 3.25
Pr  0.7397  0.2386  0.7397  2 P 2.97, 1 Si 2.97, 3 Te 3.25
Pr  0.7397  0.7397  0.2386  2 P 2.97, 1 Si 2.97, 3 Te 3.25
Pr  0.7614  0.2603  0.2603  2 P 2.97, 1 Si 2.97, 3 Te 3.25
Pr  0.7618  0.7618  0.7618  3 P 2.96, 3 Te 3.27
Si  0.5000  0.5000  0.5000  6 Pr 2.97
Te  0.0000  0.0000  0.0000  6 Pr 3.25
Te  0.0000  0.5000  0.5000  6 Pr 3.25-3.27
Te  0.5000  0.0000  0.5000  6 Pr 3.25-3.27
Te  0.5000  0.5000  0.0000  6 Pr 3.25-3.27
P  0.0000  0.0000  0.5000  6 Pr 2.96-2.97
P  0.0000  0.5000  0.0000  6 Pr 2.96-2.97
P  0.5000  0.0000  0.0000  6 Pr 2.96-2.97

Output
VASP energy ... -5.994 eV per atom
Space group ... R-3m
Raw formation energy ... -1.465 eV/atom